a.
PuZrSc2, relaxed, DFT PBE; crystal system = cubic; symmetry = Fm-3m, No. 225
1.0
0.0000 3.6384 3.6384
3.6384 0.0000 3.6384
3.6384 3.6384 0.0000
Pu Zr Sc
1 1 2
Direct
0.0000 0.0000 0.0000
0.5000 0.5000 0.5000
0.2500 0.2500 0.2500
0.7500 0.7500 0.7500

b.
PuZrSc2, relaxed, DFT PBE; crystal system = tetragonal; symmetry = P4/mmm, No. 123
1.0
3.2114 0.0000 0.0000
0.0000 3.2114 0.0000
0.0000 0.0000 9.4204
Pu Zr Sc
1 1 2
Direct
0.0000 0.0000 0.0000
0.0000 0.0000 0.5000
0.5000 0.5000 0.2623
0.5000 0.5000 0.7377

Which structure wins on stability? b wins.

a.
PuZrSc2, relaxed, DFT PBE; crystal system = orthorhombic; symmetry = Cmc2_1, No. 36
1.0
1.4988 -10.5790 0.0000
1.4988 10.5790 0.0000
0.0000 0.0000 6.1408
Pu Zr Sc
2 2 4
Direct
0.1264 0.8736 0.5000
0.8736 0.1264 0.0000
0.1282 0.8718 0.0110
0.8718 0.1282 0.5110
0.0025 0.9975 0.7533
0.2563 0.7437 0.7500
0.7437 0.2563 0.2500
0.9975 0.0025 0.2533

b.
PuZrSc2, relaxed, DFT PBE; crystal system = tetragonal; symmetry = P4/mmm, No. 123
1.0
4.5134 0.0000 0.0000
0.0000 4.5134 0.0000
0.0000 0.0000 4.6924
Pu Zr Sc
1 1 2
Direct
0.0000 0.0000 0.0000
0.5000 0.5000 0.0000
0.0000 0.5000 0.5000
0.5000 0.0000 0.5000

Which structure wins on stability? b wins.